1.
A relaxed structure of Ce2NdTh. Source: the Alexandria database, functional PBE-GGA.

The structure in CIF format:
```
data_Ce2NdTh
_chemical_formula_sum 'Ce8 Nd4 Th4'
_symmetry_space_group_name_H-M 'F m -3 m'
_symmetry_Int_Tables_number 225
_symmetry_space_group_name_Hall '-F 4 2 3'
_cell_length_a 7.9383
_cell_length_b 7.9383
_cell_length_c 7.9383
_cell_angle_alpha 90.00
_cell_angle_beta 90.00
_cell_angle_gamma 90.00
loop_
_atom_site_label
_atom_site_fract_x
_atom_site_fract_y
_atom_site_fract_z
Ce1 0.2500 0.2500 0.2500
Nd1 0.0000 0.0000 0.0000
Th1 0.0000 0.0000 0.5000
```

Properties
The calculation puts the energy above the most stable polymorph in this dataset at 217.9 meV per atom. As for the calculated formation energy: 274.0 meV/atom.

2.
A relaxed structure of CeSmTlOs. Source: the Alexandria database, functional PBE-GGA.

The structure in CIF format:
```
data_CeSmTlOs
_chemical_formula_sum 'Ce1 Sm1 Tl1 Os1'
_symmetry_space_group_name_H-M 'P 4 m m'
_symmetry_Int_Tables_number 99
_symmetry_space_group_name_Hall 'P 4 -2'
_cell_length_a 3.3977
_cell_length_b 3.3977
_cell_length_c 8.6535
_cell_angle_alpha 90.00
_cell_angle_beta 90.00
_cell_angle_gamma 90.00
loop_
_atom_site_label
_atom_site_fract_x
_atom_site_fract_y
_atom_site_fract_z
Ce1 0.0000 0.0000 0.0000
Sm1 0.0000 0.0000 0.4066
Tl1 0.5000 0.5000 0.7022
Os1 0.5000 0.5000 0.1966
```

Properties
As for the calculated formation energy: -244.0 meV/atom.